DFT (PBE-GGA) results for a geometry-optimized CaPm2P structure.

Output
The value obtained for the relative energy among the computed polymorphs is 1 meV per atom. The calculation puts the calculated formation energy at -0.71 eV per atom. As for the volume: 33.95 A^3/atom. Its energy is -4.94 eV per atom.

Cell: 3.9911 3.9911 29.5313 Å, 90.00 90.00 120.00°
Space group R3m (No. 160, hexagonal axes)
One atom of each set of equivalent atoms:
Ca (0.0000, 0.0000, 0.0000)
Pm (0.0000, 0.0000, 0.5542)
Pm (0.0000, 0.0000, 0.7780)
P (0.0000, 0.0000, 0.1658)